{
  "formula": "CeNd5Sm",
  "functional": "PBE",
  "state": "relaxed",
  "e_tot_ev_per_atom": -4.058,
  "formation_energy_ev_per_atom": 0.8690,
  "lattice": [[-2.982, -1.615, -4.684], [-6.247, -4.485, 1.954], [-6.919, 3.852, -0.492]],
  "species": ["Nd", "Nd", "Nd", "Nd", "Nd", "Sm", "Ce"],
  "frac_coords": [[0.756, 0.244, 0.244], [0.000, 0.316, 0.684], [0.000, 0.684, 0.316], [0.500, 0.000, 0.000], [0.244, 0.756, 0.756], [0.500, 0.500, 0.500], [0.000, 0.000, 0.000]]
}

=====

{
  "formula": "Zn3BRh",
  "functional": "PBE",
  "state": "relaxed",
  "e_tot_ev_per_atom": -2.498,
  "formation_energy_ev_per_atom": 1.0722,
  "de_polymorph_ev_per_atom": 0.7532,
  "lattice": [[-0.090, 2.345, -4.120], [-4.738, -0.182, 0.000], [-0.158, 4.117, 2.347]],
  "species": ["Zn", "Zn", "Zn", "B", "Rh"],
  "frac_coords": [[0.000, 0.500, 0.000], [0.000, 0.000, 0.500], [0.500, 0.000, 0.000], [0.500, 0.500, 0.500], [0.000, 0.000, 0.000]]
}

=====

{
  "formula": "TaIn2Sb",
  "functional": "PBE",
  "state": "relaxed",
  "e_tot_ev_per_atom": -4.941,
  "raw_formation_energy_mev_per_atom": 422,
  "lattice": [[5.473, 0.004, 0.012], [-2.477, 5.488, -0.048], [0.520, 0.931, 3.017]],
  "species": ["In", "In", "Sb", "Ta"],
  "frac_coords": [[0.000, 0.000, 0.000], [0.500, 0.000, 0.500], [0.000, 0.500, 0.500], [0.500, 0.500, 0.000]]
}

=====

{
  "formula": "Hf7Ga2P2",
  "functional": "PBE",
  "state": "relaxed",
  "e_tot_ev_per_atom": -8.512,
  "formation_energy_ev_per_atom": -0.6445,
  "lattice": [[-2.284, -1.719, 1.891], [5.091, -3.605, 5.979], [1.109, 3.642, 7.757]],
  "species": ["Hf", "Hf", "Hf", "Hf", "Hf", "Hf", "Hf", "P", "P", "Ga", "Ga"],
  "frac_coords": [[0.383, 0.718, 0.516], [0.617, 0.484, 0.282], [0.176, 0.716, 0.932], [0.157, 0.116, 0.569], [0.824, 0.068, 0.284], [0.500, 0.026, 0.974], [0.843, 0.431, 0.884], [0.250, 0.340, 0.160], [0.750, 0.840, 0.660], [0.500, 0.347, 0.653], [0.000, 0.768, 0.232]]
}

=====

no.,DOS(E_F) (states/eV/atom),density (g/cm3),V (Å³/atom)
1,2.259,5.586,42.96
2,0.436,4.828,21.32
3,0.638,9.731,22.71
4,0.989,11.326,19.34